Zr2BeN | PBE-GGA | optimized geometry

POSCAR file:
```
Zr2BeN
1.0
1.654 -9.865 0.000
1.654 9.865 0.000
0.000 0.000 3.468
Zr Be N
4 2 2
Direct
0.080 0.920 0.750 Zr
0.305 0.695 0.750 Zr
0.695 0.305 0.250 Zr
0.920 0.080 0.250 Zr
0.470 0.530 0.750 Be
0.530 0.470 0.250 Be
0.192 0.808 0.750 N
0.808 0.192 0.250 N
```

Output
The total magnetization is 0.000 Bohr magnetons per cell. The final energy is -65.57 eV/cell. As for the density of states at the Fermi level: 3.453 states/eV per cell. The formation energy without anion corrections comes out at -0.9089 eV/atom. Its symmetry is Cmcm (63).

=====

PtWN3 | PBE-GGA | optimized geometry

POSCAR file:
```
PtWN3
1.0
3.949 0.000 0.000
0.000 3.949 0.000
0.000 0.000 3.949
Pt W N
1 1 3
Direct
0.000 0.000 0.000 Pt
0.500 0.500 0.500 W
0.000 0.500 0.500 N
0.500 0.000 0.500 N
0.500 0.500 0.000 N
```

Output
The total magnetization is 0.000 Bohr magnetons per cell. The final energy is -38.54 eV/cell. As for the density of states at the Fermi level: 4.771 states/eV per cell. The formation energy without anion corrections comes out at 1.0868 eV/atom. Its symmetry is Pm-3m (221).

=====

CeMg3Au2 | PBE-GGA | optimized geometry

POSCAR file:
```
CeMg3Au2
1.0
8.202 -2.202 0.000
8.202 2.202 0.000
-3.130 0.000 7.565
Ce Mg Au
2 6 4
Direct
0.114 0.114 0.146 Ce
0.886 0.886 0.854 Ce
0.059 0.059 0.684 Mg
0.313 0.313 0.104 Mg
0.339 0.339 0.505 Mg
0.661 0.661 0.495 Mg
0.687 0.687 0.896 Mg
0.941 0.941 0.316 Mg
0.235 0.235 0.729 Au
0.493 0.493 0.180 Au
0.507 0.507 0.820 Au
0.765 0.765 0.271 Au
```

Output
The total magnetization is 2.119 Bohr magnetons per cell. The final energy is -40.11 eV/cell. As for the density of states at the Fermi level: 17.472 states/eV per cell. Its symmetry is C2/m (12).